Below is a relaxed Th4Sb5O crystal, with properties calculated at the PBE-GGA level.

It has space group C2/m (No. 12), with a = 17.707 Å, b = 4.232 Å, c = 8.002 Å, α = 90.00°, β = 103.03° and γ = 90.00°. The asymmetric unit holds Th at (0.036, 0.000, 0.223), Th at (0.136, 0.500, 0.932), Sb at (0.000, 0.500, 0.500), Sb at (0.135, 0.000, 0.621), Sb at (0.210, 0.000, 0.218) and O at (0.000, 0.500, 0.000).

The value obtained for the calculated density is 8.8 g cm⁻³. As for the uncorrected formation energy: -0.83 eV per atom.

---

Below is a relaxed ThTl2SbO6 crystal, with properties calculated at the PBE-GGA level.

It has space group Fm-3m (No. 225), with a = 8.611 Å, b = 8.611 Å, c = 8.611 Å, α = 90.00°, β = 90.00° and γ = 90.00°. The asymmetric unit holds Th at (0.000, 0.000, 0.000), Tl at (0.250, 0.250, 0.250), Sb at (0.000, 0.000, 0.500) and O at (0.000, 0.000, 0.266).

The value obtained for the calculated density is 8.9 g cm⁻³. As for the uncorrected formation energy: -1.79 eV per atom.

---

Below is a relaxed ThZnSbO6 crystal, with properties calculated at the PBE-GGA level.

It has space group P4_2nm (No. 102), with a = 4.995 Å, b = 4.995 Å, c = 9.975 Å, α = 90.00°, β = 90.00° and γ = 90.00°. The asymmetric unit holds Th at (0.000, 0.000, 0.000), Zn at (0.000, 0.000, 0.330), Sb at (0.000, 0.000, 0.664), O at (0.178, 0.178, 0.505), O at (0.197, 0.197, 0.810) and O at (0.216, 0.216, 0.172).

The value obtained for the calculated density is 6.9 g cm⁻³. As for the uncorrected formation energy: -1.94 eV per atom.

---

Below is a relaxed TiSbO4 crystal, with properties calculated at the PBE-GGA level.

It has space group C2/m (No. 12), with a = 12.675 Å, b = 3.979 Å, c = 7.041 Å, α = 90.00°, β = 108.15° and γ = 90.00°. The asymmetric unit holds Ti at (0.098, 0.000, 0.207), Sb at (0.192, 0.000, 0.766), O at (0.057, 0.000, 0.884), O at (0.120, 0.000, 0.476), O at (0.136, 0.500, 0.206) and O at (0.234, 0.500, 0.821).

The value obtained for the calculated density is 4.6 g cm⁻³. As for the uncorrected formation energy: -2.04 eV per atom.

---

Below is a relaxed Ti3SbO crystal, with properties calculated at the PBE-GGA level.

It has space group Cmmm (No. 65), with a = 5.773 Å, b = 12.463 Å, c = 4.198 Å, α = 90.00°, β = 90.00° and γ = 90.00°. The asymmetric unit holds Ti at (0.000, 0.132, 0.000), Ti at (0.235, 0.000, 0.500), Ti at (0.250, 0.250, 0.500), Sb at (0.000, 0.368, 0.000) and O at (0.000, 0.125, 0.500).

The value obtained for the calculated density is 6.2 g cm⁻³. As for the uncorrected formation energy: -1.17 eV per atom. As for the energy above the most stable polymorph in this dataset: 0 meV/atom.

---

Below is a relaxed TiSb3O crystal, with properties calculated at the PBE-GGA level.

It has space group Pm-3m (No. 221), with a = 5.132 Å, b = 5.132 Å, c = 5.132 Å, α = 90.00°, β = 90.00° and γ = 90.00°. The asymmetric unit holds Ti at (0.000, 0.000, 0.000), Sb at (0.000, 0.000, 0.500) and O at (0.500, 0.500, 0.500).

The value obtained for the calculated density is 5.3 g cm⁻³. As for the uncorrected formation energy: 0.50 eV per atom. As for the energy above the most stable polymorph in this dataset: 565 meV/atom.

---

Below is a relaxed Ti8Sb2O crystal, with properties calculated at the PBE-GGA level.

It has space group C2/m (No. 12), with a = 15.001 Å, b = 4.601 Å, c = 5.544 Å, α = 90.00°, β = 107.84° and γ = 90.00°. The asymmetric unit holds Ti at (0.004, 0.000, 0.244), Ti at (0.079, 0.500, 0.723), Ti at (0.124, 0.500, 0.255), Ti at (0.215, 0.000, 0.127), Sb at (0.173, 0.000, 0.612) and O at (0.000, 0.500, 0.000).

The value obtained for the calculated density is 5.9 g cm⁻³. As for the uncorrected formation energy: -0.55 eV per atom.

---

Below is a relaxed TiSb2O crystal, with properties calculated at the PBE-GGA level.

It has space group I-42d (No. 122), with a = 6.619 Å, b = 6.619 Å, c = 7.225 Å, α = 90.00°, β = 90.00° and γ = 90.00°. The asymmetric unit holds Ti at (0.000, 0.000, 0.000), Sb at (0.181, 0.250, 0.625) and O at (0.000, 0.000, 0.500).

The value obtained for the calculated density is 6.5 g cm⁻³. As for the uncorrected formation energy: -0.13 eV per atom.

---

Below is a relaxed TiSb3O crystal, with properties calculated at the PBE-GGA level.

It has space group Pm-3m (No. 221), with a = 4.706 Å, b = 4.706 Å, c = 4.706 Å, α = 90.00°, β = 90.00° and γ = 90.00°. The asymmetric unit holds Ti at (0.000, 0.000, 0.000), Sb at (0.000, 0.500, 0.500) and O at (0.500, 0.500, 0.500).

The value obtained for the calculated density is 6.8 g cm⁻³. As for the uncorrected formation energy: -0.07 eV per atom. As for the energy above the most stable polymorph in this dataset: 0 meV/atom.

---

Below is a relaxed TiSbO4 crystal, with properties calculated at the PBE-GGA level.

It has space group Pmn2_1 (No. 31), with a = 5.658 Å, b = 5.389 Å, c = 5.125 Å, α = 90.00°, β = 90.00° and γ = 90.00°. The asymmetric unit holds Ti at (0.000, 0.032, 0.000), Sb at (0.000, 0.608, 0.450), O at (0.000, 0.335, 0.180), O at (0.000, 0.735, 0.819) and O at (0.230, 0.851, 0.290).

The value obtained for the calculated density is 5.0 g cm⁻³. As for the uncorrected formation energy: -1.92 eV per atom.

---

Below is a relaxed TiSb2O4 crystal, with properties calculated at the PBE-GGA level.

It has space group P1 (No. 1), with a = 4.808 Å, b = 5.192 Å, c = 5.896 Å, α = 100.19°, β = 98.76° and γ = 99.21°. The asymmetric unit holds Ti at (0.000, 0.000, 0.000), Sb at (0.433, 0.991, 0.579), Sb at (0.935, 0.416, 0.568), O at (0.142, 0.123, 0.317), O at (0.147, 0.171, 0.756), O at (0.638, 0.043, 0.940) and O at (0.993, 0.651, 0.898).

The value obtained for the calculated density is 4.2 g cm⁻³. As for the uncorrected formation energy: -1.73 eV per atom.

---

Below is a relaxed Ti3SbO crystal, with properties calculated at the PBE-GGA level.

It has space group C2/m (No. 12), with a = 13.267 Å, b = 3.741 Å, c = 7.167 Å, α = 90.00°, β = 107.46° and γ = 90.00°. The asymmetric unit holds Ti at (0.043, 0.000, 0.348), Ti at (0.170, 0.000, 0.939), Ti at (0.177, 0.500, 0.624), Sb at (0.145, 0.500, 0.204) and O at (0.107, 0.000, 0.643).

The value obtained for the calculated density is 5.5 g cm⁻³. As for the uncorrected formation energy: -1.10 eV per atom. As for the energy above the most stable polymorph in this dataset: 77 meV/atom.

---

Below is a relaxed Ti3SbO crystal, with properties calculated at the PBE-GGA level.

It has space group Pm-3m (No. 221), with a = 4.209 Å, b = 4.209 Å, c = 4.209 Å, α = 90.00°, β = 90.00° and γ = 90.00°. The asymmetric unit holds Ti at (0.000, 0.000, 0.500), Sb at (0.500, 0.500, 0.500) and O at (0.000, 0.000, 0.000).

The value obtained for the calculated density is 6.3 g cm⁻³. As for the uncorrected formation energy: -1.17 eV per atom. As for the energy above the most stable polymorph in this dataset: 1 meV/atom.

---

Below is a relaxed Ti3SbO crystal, with properties calculated at the PBE-GGA level.

It has space group Pm-3m (No. 221), with a = 5.140 Å, b = 5.140 Å, c = 5.140 Å, α = 90.00°, β = 90.00° and γ = 90.00°. The asymmetric unit holds Ti at (0.000, 0.000, 0.500), Sb at (0.000, 0.000, 0.000) and O at (0.500, 0.500, 0.500).

The value obtained for the calculated density is 3.4 g cm⁻³. As for the uncorrected formation energy: 1.20 eV per atom. As for the energy above the most stable polymorph in this dataset: 2375 meV/atom.

---

Below is a relaxed TiTl2SbO6 crystal, with properties calculated at the PBE-GGA level.

It has space group I4/mmm (No. 139), with a = 5.687 Å, b = 5.687 Å, c = 8.033 Å, α = 90.00°, β = 90.00° and γ = 90.00°. The asymmetric unit holds Ti at (0.000, 0.000, 0.000), Tl at (0.000, 0.500, 0.250), Sb at (0.000, 0.000, 0.500), O at (0.000, 0.000, 0.248) and O at (0.249, 0.249, 0.000).

The value obtained for the calculated density is 8.6 g cm⁻³. As for the uncorrected formation energy: -1.50 eV per atom.

---

Below is a relaxed TiTlSbO4 crystal, with properties calculated at the PBE-GGA level.

It has space group P2_1/m (No. 11), with a = 6.727 Å, b = 5.973 Å, c = 7.914 Å, α = 90.00°, β = 112.79° and γ = 90.00°. The asymmetric unit holds Ti at (0.110, 0.250, 0.262), Tl at (0.323, 0.750, 0.548), Sb at (0.268, 0.250, 0.866), O at (0.055, 0.008, 0.772), O at (0.277, 0.250, 0.121) and O at (0.301, 0.250, 0.488).

The value obtained for the calculated density is 5.0 g cm⁻³. As for the uncorrected formation energy: -1.91 eV per atom.

---

Below is a relaxed TiTlSb2O8 crystal, with properties calculated at the PBE-GGA level.

It has space group Cmmm (No. 65), with a = 6.747 Å, b = 6.964 Å, c = 6.553 Å, α = 90.00°, β = 90.00° and γ = 90.00°. The asymmetric unit holds Ti at (0.000, 0.000, 0.000), Tl at (0.000, 0.000, 0.500), Sb at (0.000, 0.500, 0.242), O at (0.000, 0.305, 0.000), O at (0.000, 0.322, 0.500) and O at (0.199, 0.000, 0.218).

The value obtained for the calculated density is 6.7 g cm⁻³. As for the uncorrected formation energy: -1.58 eV per atom.

---

Below is a relaxed TiTl2Sb2O6 crystal, with properties calculated at the PBE-GGA level.

It has space group C2/m (No. 12), with a = 9.352 Å, b = 5.860 Å, c = 7.549 Å, α = 90.00°, β = 107.05° and γ = 90.00°. The asymmetric unit holds Ti at (0.000, 0.000, 0.000), Tl at (0.229, 0.000, 0.681), Sb at (0.102, 0.500, 0.760), O at (0.023, 0.248, 0.191) and O at (0.217, 0.000, 0.025).

The value obtained for the calculated density is 6.7 g cm⁻³. As for the uncorrected formation energy: -1.53 eV per atom.

---

Below is a relaxed YTiSbO6 crystal, with properties calculated at the PBE-GGA level.

It has space group P-31c (No. 163), with a = 5.2245 Å, b = 5.2245 Å, c = 9.8170 Å, α = 90.00°, β = 90.00° and γ = 120.00°. The asymmetric unit holds Y at (0.0000, 0.0000, 0.0000), Ti at (0.3333, 0.6667, 0.2500), Sb at (0.3333, 0.6667, 0.7500) and O at (0.0031, 0.3629, 0.1390).

The value obtained for the calculated density is 5.1 g cm⁻³. As for the uncorrected formation energy: -2.59 eV per atom.

---

Below is a relaxed YTiSb2O crystal, with properties calculated at the PBE-GGA level.

It has space group P4/mmm (No. 123), with a = 5.013 Å, b = 5.013 Å, c = 5.494 Å, α = 90.00°, β = 90.00° and γ = 90.00°. The asymmetric unit holds Y at (0.000, 0.000, 0.000), Ti at (0.000, 0.000, 0.500), Sb at (0.000, 0.500, 0.500) and O at (0.500, 0.500, 0.000).

The value obtained for the calculated density is 4.8 g cm⁻³. As for the uncorrected formation energy: 0.31 eV per atom.